# 1
Entry from Alexandria: SbIrPtI2 after structural relaxation (GGA-PBE). Values from VASP.

```
&SYSTEM
  ibrav = 0, nat = 5, ntyp = 4
/
ATOMIC_SPECIES
Sb 121.76 Sb.upf
Ir 192.22 Ir.upf
Pt 195.08 Pt.upf
I 126.90 I.upf
ATOMIC_POSITIONS crystal
Sb 0.0000 0.0000 0.0000
Ir 0.0000 0.0000 0.5000
Pt 0.5000 0.5000 0.0000
I 0.0000 0.5000 0.5000
I 0.5000 0.0000 0.5000
CELL_PARAMETERS angstrom
5.4430 0.0000 0.0000
0.0000 5.4430 0.0000
0.0000 0.0000 4.9855
```

## Properties
Calculated volume, Å³ per atom: 29.5
Energy above the most stable polymorph in this dataset, eV per formula unit: 0.00
Uncorrected formation energy, meV per atom: 985
Electronic total energy, eV/atom: -3.4403

# 2
Entry from Alexandria: NdSm4Dy2Tm after structural relaxation (GGA-PBE). Values from VASP.

```
&SYSTEM
  ibrav = 0, nat = 16, ntyp = 4
/
ATOMIC_SPECIES
Nd 144.24 Nd.upf
Sm 150.36 Sm.upf
Dy 162.50 Dy.upf
Tm 168.93 Tm.upf
ATOMIC_POSITIONS crystal
Nd 0.0000 0.5000 0.0000
Nd 0.5000 0.0000 0.5000
Sm 0.2469 0.2502 0.4976
Sm 0.2478 0.7521 0.9998
Sm 0.2479 0.7522 0.5002
Sm 0.2502 0.2469 0.9976
Sm 0.7498 0.7531 0.0024
Sm 0.7522 0.2479 0.0002
Sm 0.7521 0.2478 0.4998
Sm 0.7531 0.7498 0.5024
Dy 0.0000 0.5000 0.5000
Dy 0.5000 0.0000 0.0000
Dy 0.5000 0.5000 0.0000
Dy 0.5000 0.5000 0.5000
Tm 0.0000 0.0000 0.0000
Tm 0.0000 0.0000 0.5000
CELL_PARAMETERS angstrom
6.8429 -6.6473 0.0000
6.8429 6.6473 0.0000
-3.4321 0.0000 5.9326
```

## Properties
Calculated volume, Å³ per atom: 33.7
Formation energy from the elements, eV per atom: 0.406
Electronic total energy, eV/atom: -4.2590

# 3
Entry from Alexandria: Pr3Cu4Ge after structural relaxation (GGA-PBE). Values from VASP.

```
&SYSTEM
  ibrav = 0, nat = 8, ntyp = 3
/
ATOMIC_SPECIES
Pr 140.91 Pr.upf
Cu 63.55 Cu.upf
Ge 72.64 Ge.upf
ATOMIC_POSITIONS crystal
Pr 0.0000 0.0000 0.0000
Pr 0.2947 0.7947 0.5000
Pr 0.7053 0.2053 0.5000
Cu 0.1172 0.3747 0.7425
Cu 0.3678 0.6253 0.7425
Cu 0.6322 0.3747 0.2575
Cu 0.8828 0.6253 0.2575
Ge 0.5000 0.5000 0.0000
CELL_PARAMETERS angstrom
-2.3171 2.4110 8.3121
2.3171 -2.4110 8.3121
2.3171 2.4110 -8.3121
```

## Properties
Calculated volume, Å³ per atom: 23.2
Formation energy from the elements, eV per atom: -0.125
Electronic total energy, eV/atom: -4.5425

# 4
Entry from Alexandria: Ca2P4PdO8 after structural relaxation (GGA-PBE). Values from VASP.

```
&SYSTEM
  ibrav = 0, nat = 30, ntyp = 4
/
ATOMIC_SPECIES
Ca 40.08 Ca.upf
P 30.97 P.upf
Pd 106.42 Pd.upf
O 16.00 O.upf
ATOMIC_POSITIONS crystal
Ca 0.0000 0.0000 0.0000
Ca 0.0000 0.0000 0.5000
Ca 0.0000 0.5000 0.0000
Ca 0.5000 0.0000 0.5000
P 0.1999 0.6793 0.5205
P 0.3207 0.3412 0.5205
P 0.3207 0.8001 0.9795
P 0.3412 0.3207 0.0205
P 0.6588 0.6793 0.9795
P 0.6793 0.1999 0.0205
P 0.6793 0.6588 0.4795
P 0.8001 0.3207 0.4795
Pd 0.3750 0.6250 0.7500
Pd 0.6250 0.3750 0.2500
O 0.1226 0.5584 0.2990
O 0.1226 0.8236 0.5642
O 0.1764 0.2406 0.2990
O 0.1764 0.8774 0.9358
O 0.2406 0.1764 0.7990
O 0.2406 0.4416 0.0642
O 0.4416 0.2406 0.5642
O 0.4416 0.8774 0.2010
O 0.5584 0.1226 0.7990
O 0.5584 0.7594 0.4358
O 0.7594 0.5584 0.9358
O 0.7594 0.8236 0.2010
O 0.8236 0.1226 0.0642
O 0.8236 0.7594 0.7010
O 0.8774 0.1764 0.4358
O 0.8774 0.4416 0.7010
CELL_PARAMETERS angstrom
-4.7270 4.7270 7.8823
4.7270 -4.7270 7.8823
4.7270 4.7270 -7.8823
```

## Properties
Calculated volume, Å³ per atom: 23.5
Uncorrected formation energy, meV per atom: -1901
Electronic total energy, eV/atom: -6.6014

# 5
Entry from Alexandria: Mn2SbPd4 after structural relaxation (GGA-PBE). Values from VASP.

```
&SYSTEM
  ibrav = 0, nat = 7, ntyp = 3
/
ATOMIC_SPECIES
Mn 54.94 Mn.upf
Sb 121.76 Sb.upf
Pd 106.42 Pd.upf
ATOMIC_POSITIONS crystal
Mn 0.2442 0.7558 0.0000
Mn 0.7558 0.2442 0.0000
Sb 0.5000 0.5000 0.5000
Pd 0.0000 0.5000 0.5000
Pd 0.2447 0.2447 0.0000
Pd 0.5000 0.0000 0.5000
Pd 0.7553 0.7553 0.0000
CELL_PARAMETERS angstrom
2.9554 -4.5451 0.0000
2.9554 4.5451 0.0000
0.0000 0.0000 4.5230
```

## Properties
Calculated volume, Å³ per atom: 17.4
Energy above the most stable polymorph in this dataset, eV per formula unit: 0.00
Uncorrected formation energy, meV per atom: -150
Electronic total energy, eV/atom: -6.3263

# 6
Entry from Alexandria: Al3Te4 after structural relaxation (GGA-PBE). Values from VASP.

```
&SYSTEM
  ibrav = 0, nat = 7, ntyp = 2
/
ATOMIC_SPECIES
Al 26.98 Al.upf
Te 127.60 Te.upf
ATOMIC_POSITIONS crystal
Al 0.0000 0.5000 0.0000
Al 0.5000 0.0000 0.0000
Al 0.5000 0.5000 0.0000
Te 0.0000 0.0000 0.2105
Te 0.0000 0.0000 0.7895
Te 0.3333 0.6667 0.5000
Te 0.6667 0.3333 0.5000
CELL_PARAMETERS angstrom
5.1989 0.0000 0.0000
-2.5995 4.5024 0.0000
0.0000 0.0000 8.2315
```

## Properties
Calculated volume, Å³ per atom: 27.5
Uncorrected formation energy, meV per atom: 190
Electronic total energy, eV/atom: -3.2095

# 7
Entry from Alexandria: NpInBi2 after structural relaxation (GGA-PBE). Values from VASP.

```
&SYSTEM
  ibrav = 0, nat = 4, ntyp = 3
/
ATOMIC_SPECIES
Np 237.00 Np.upf
In 114.82 In.upf
Bi 208.98 Bi.upf
ATOMIC_POSITIONS crystal
Np 0.0000 0.0000 0.0000
In 0.5000 0.5000 0.5000
Bi 0.2500 0.2500 0.2500
Bi 0.7500 0.7500 0.7500
CELL_PARAMETERS angstrom
0.0000 3.9042 3.9042
3.9042 0.0000 3.9042
3.9042 3.9042 0.0000
```

## Properties
Calculated volume, Å³ per atom: 29.8
Energy above the most stable polymorph in this dataset, eV per formula unit: 0.93
Formation energy from the elements, eV per atom: 0.219
Electronic total energy, eV/atom: -5.6411

# 8
Entry from Alexandria: Tb2Ga4Ge2Pd after structural relaxation (GGA-PBE). Values from VASP.

```
&SYSTEM
  ibrav = 0, nat = 9, ntyp = 4
/
ATOMIC_SPECIES
Tb 158.93 Tb.upf
Ga 69.72 Ga.upf
Ge 72.64 Ge.upf
Pd 106.42 Pd.upf
ATOMIC_POSITIONS crystal
Tb 0.2500 0.7500 0.5000
Tb 0.7500 0.2500 0.5000
Ga 0.2133 0.2133 0.4267
Ga 0.2133 0.7867 0.0000
Ga 0.7867 0.2133 0.0000
Ga 0.7867 0.7867 0.5733
Ge 0.2214 0.2214 0.0000
Ge 0.7786 0.7786 0.0000
Pd 0.5000 0.5000 0.0000
CELL_PARAMETERS angstrom
-3.0919 3.0919 4.6095
3.0919 -3.0919 4.6095
3.0919 3.0919 -4.6095
```

## Properties
Calculated volume, Å³ per atom: 19.6
Formation energy from the elements, eV per atom: -0.537
Electronic total energy, eV/atom: -4.5147

# 9
Entry from Alexandria: BaBeW2 after structural relaxation (GGA-PBE). Values from VASP.

```
&SYSTEM
  ibrav = 0, nat = 4, ntyp = 3
/
ATOMIC_SPECIES
Ba 137.33 Ba.upf
Be 9.01 Be.upf
W 183.84 W.upf
ATOMIC_POSITIONS crystal
Ba 0.0000 0.0000 0.0000
Be 0.5000 0.5000 0.0000
W 0.0000 0.5000 0.5000
W 0.5000 0.0000 0.5000
CELL_PARAMETERS angstrom
2.7592 -5.1423 0.0000
2.7592 5.1423 0.0000
-1.7898 0.0000 2.7048
```

## Properties
Calculated volume, Å³ per atom: 19.2
Formation energy from the elements, eV per atom: 1.468
Electronic total energy, eV/atom: -6.4206

# 10
Entry from Alexandria: BaSrPmEu after structural relaxation (GGA-PBE). Values from VASP.

```
&SYSTEM
  ibrav = 0, nat = 4, ntyp = 4
/
ATOMIC_SPECIES
Ba 137.33 Ba.upf
Sr 87.62 Sr.upf
Pm 145.00 Pm.upf
Eu 151.96 Eu.upf
ATOMIC_POSITIONS crystal
Ba 0.0000 0.0000 0.0000
Sr 0.2500 0.2500 0.2500
Pm 0.5000 0.5000 0.5000
Eu 0.7500 0.7500 0.7500
CELL_PARAMETERS angstrom
0.0000 4.5263 4.5263
4.5263 0.0000 4.5263
4.5263 4.5263 0.0000
```

## Properties
Calculated volume, Å³ per atom: 46.4
Formation energy from the elements, eV per atom: 0.164
Electronic total energy, eV/atom: -4.4932

# 11
Entry from Alexandria: TlZnAgI4 after structural relaxation (GGA-PBE). Values from VASP.

```
&SYSTEM
  ibrav = 0, nat = 14, ntyp = 4
/
ATOMIC_SPECIES
Tl 204.38 Tl.upf
Zn 65.41 Zn.upf
Ag 107.87 Ag.upf
I 126.90 I.upf
ATOMIC_POSITIONS crystal
Tl 0.1452 0.2500 0.0403
Tl 0.8548 0.7500 0.9597
Zn 0.2300 0.7500 0.3005
Zn 0.7700 0.2500 0.6995
Ag 0.2936 0.2500 0.6904
Ag 0.7064 0.7500 0.3096
I 0.0171 0.0195 0.7289
I 0.0171 0.4805 0.7289
I 0.3824 0.7500 0.0628
I 0.4938 0.7500 0.5298
I 0.5062 0.2500 0.4702
I 0.6176 0.2500 0.9372
I 0.9829 0.5195 0.2711
I 0.9829 0.9805 0.2711
CELL_PARAMETERS angstrom
7.0548 0.0000 0.0000
0.0000 8.9182 0.0000
-1.7790 0.0000 9.3920
```

## Properties
Calculated volume, Å³ per atom: 42.2
Uncorrected formation energy, meV per atom: -483
Electronic total energy, eV/atom: -2.2962